Entry from Alexandria via LeMat-Bulk: a relaxed AlTlW crystal (PBE).

Summary:
The crystal system is orthorhombic. The calculation puts the formation energy at 0.6401 eV/atom. The value obtained for the density of states at the Fermi level is 0.884 states/eV/atom. The space-group type is No. 44. The total moment is 0.0 μB per formula unit.

```
AlTlW
1.0
-1.500 1.905 4.930
1.500 -1.905 4.930
1.500 1.905 -4.930
Al Tl W
1 1 1
Cartesian
0.000 0.000 0.000
0.000 0.000 6.848
0.000 0.000 3.789
```